1.
# GGA-PBE BaInBr2, optimized geometry
data_BaInBr2
_chemical_formula_sum 'Ba1 In1 Br2'
_space_group_name_H-M_alt 'P 1'
_space_group_IT_number 1
_cell_length_a 4.696
_cell_length_b 4.746
_cell_length_c 6.112
_cell_angle_alpha 90.00
_cell_angle_beta 90.00
_cell_angle_gamma 90.00
loop_
_space_group_symop_operation_xyz
'x,y,z'
loop_
_atom_site_label
_atom_site_fract_x
_atom_site_fract_y
_atom_site_fract_z
Ba1 0.000 0.000 0.000
In1 0.000 0.500 0.500
Br1 0.500 0.000 0.500
Br2 0.500 0.500 0.000
# Volume   136 Å³ per cell
# Total moment   0.515 μB/f.u.
# ΔE_f (raw)   -1.193 eV per atom
# Distance to the lowest polymorph of the same formula   22.2 kJ/mol of formula units
# Crystal system   orthorhombic

2.
# GGA-PBE PaFe3Ge3, optimized geometry
data_PaFe3Ge3
_chemical_formula_sum 'Pa2 Fe6 Ge6'
_space_group_name_H-M_alt 'P 1'
_space_group_IT_number 1
_cell_length_a 6.430
_cell_length_b 6.430
_cell_length_c 6.430
_cell_angle_alpha 90.00
_cell_angle_beta 90.00
_cell_angle_gamma 90.00
loop_
_space_group_symop_operation_xyz
'x,y,z'
loop_
_atom_site_label
_atom_site_fract_x
_atom_site_fract_y
_atom_site_fract_z
Pa1 0.000 0.000 0.000
Pa2 0.500 0.500 0.500
Fe1 0.000 0.250 0.500
Fe2 0.000 0.750 0.500
Fe3 0.250 0.500 0.000
Fe4 0.500 0.000 0.250
Fe5 0.500 0.000 0.750
Fe6 0.750 0.500 0.000
Ge1 0.000 0.500 0.250
Ge2 0.000 0.500 0.750
Ge3 0.250 0.000 0.500
Ge4 0.500 0.250 0.000
Ge5 0.500 0.750 0.000
Ge6 0.750 0.000 0.500
# Volume   266 Å³ per cell
# Total moment   6.888 μB/f.u.
# Distance to the lowest polymorph of the same formula   381.3 kJ/mol of formula units
# Energy of formation from the pure elements   2.66 eV per formula unit
# Crystal system   cubic